Run w
This record from Alexandria describes LaZr after structural relaxation. The functional is GGA-PBE.

SG   I-43m
N(E_F)   16.18 states/eV/cell

Lattice parameters (Å, degrees): 8.124 8.124 8.124 109.47 109.47 109.47
Fractional coordinates of all 8 atoms:
1 La 0.000 0.000 0.421
2 La 0.000 0.421 0.000
3 La 0.421 0.000 0.000
4 La 0.579 0.579 0.579
5 Zr 0.000 0.000 0.786
6 Zr 0.000 0.786 0.000
7 Zr 0.214 0.214 0.214
8 Zr 0.786 0.000 0.000

---

Run x
This record from Alexandria describes LaZr after structural relaxation. The functional is GGA-PBE.

SG   R-3m
N(E_F)   3.19 states/eV/cell

Lattice parameters (Å, degrees): 5.924 5.924 5.924 33.63 33.63 33.63
Fractional coordinates of all 2 atoms:
1 La 0.000 0.000 0.000
2 Zr 0.500 0.500 0.500

---

Run y
This record from Alexandria describes LaZr after structural relaxation. The functional is GGA-PBE.

SG   Pnma
N(E_F)   20.37 states/eV/cell

Lattice parameters (Å, degrees): 11.123 5.165 7.973 90.00 90.00 90.00
Fractional coordinates of all 16 atoms:
1 La 0.097 0.250 0.202
2 La 0.190 0.750 0.983
3 La 0.310 0.250 0.483
4 La 0.403 0.750 0.702
5 La 0.597 0.250 0.298
6 La 0.690 0.750 0.517
7 La 0.810 0.250 0.017
8 La 0.903 0.750 0.798
9 Zr 0.097 0.750 0.504
10 Zr 0.107 0.250 0.747
11 Zr 0.393 0.750 0.247
12 Zr 0.403 0.250 0.004
13 Zr 0.597 0.750 0.996
14 Zr 0.607 0.250 0.753
15 Zr 0.893 0.750 0.253
16 Zr 0.903 0.250 0.496

---

Which is the most stable structure? run y is the most stable.